DyBeGaCu6 (PBE, optimized geometry); uncorrected energy = -4.06 eV per atom
1.0
-2.539 3.867 6.727
2.539 -3.867 6.727
2.539 3.867 -6.727
Dy Be Ga Cu
2 2 2 12
Direct
0.250 0.000 0.250
0.750 0.000 0.750
0.500 0.000 0.000
0.500 0.500 0.500
0.000 0.500 0.500
0.500 0.500 0.000
0.003 0.753 0.250
0.148 0.401 0.232
0.148 0.916 0.747
0.331 0.084 0.732
0.331 0.599 0.247
0.363 0.613 0.750
0.637 0.387 0.250
0.669 0.401 0.753
0.669 0.916 0.268
0.852 0.084 0.253
0.852 0.599 0.768
0.997 0.247 0.750